No. 1
Material: Tl3Rh
Method: DFT, SCAN
State: PBEsol geometry

POSCAR file:
```
Tl3Rh
1.0
-1.765 3.584 -3.344
0.393 -3.439 -3.894
-4.886 -1.571 0.895
Tl Rh
3 1
direct
0.500 0.000 0.000 Tl
0.000 0.500 0.000 Tl
0.000 0.000 0.500 Tl
0.000 0.000 0.000 Rh
```

Summary:
As for the volume: 35.4 A^3/atom. The value obtained for the density of states at the Fermi level is 1.43 states/eV/f.u. As for the total moment: 0.000 μB per cell. The calculation puts the distance to the lowest polymorph of the same formula at 0 meV per atom. The space group is Pm-3m (221). The calculation puts the formation energy at 0.0192 eV/atom.

No. 2
Material: Tl3Rh2
Method: DFT, SCAN
State: PBEsol geometry

POSCAR file:
```
Tl3Rh2
1.0
4.627 0.000 0.000
-2.313 4.007 0.000
0.000 0.000 5.499
Tl Rh
3 2
direct
0.667 0.333 0.637 Tl
0.000 0.000 0.000 Tl
0.333 0.667 0.363 Tl
0.333 0.667 0.866 Rh
0.667 0.333 0.134 Rh
```

Summary:
As for the volume: 20.4 A^3/atom. The value obtained for the density of states at the Fermi level is 3.27 states/eV/f.u. As for the total moment: 0.000 μB per cell. The space group is P-3m1 (164). The calculation puts the formation energy at 0.1044 eV/atom.

No. 3
Material: Tl2Rh3
Method: DFT, SCAN
State: PBEsol geometry

POSCAR file:
```
Tl2Rh3
1.0
3.023 0.000 0.000
0.000 3.641 0.000
-1.511 -1.821 7.471
Rh Tl
3 2
direct
0.701 0.201 0.401 Rh
0.299 0.799 0.599 Rh
0.500 0.000 0.000 Rh
0.895 0.395 0.789 Tl
0.105 0.605 0.211 Tl
```

Summary:
As for the volume: 16.4 A^3/atom. The value obtained for the density of states at the Fermi level is 5.08 states/eV/f.u. As for the total moment: 0.004 μB per cell. The calculation puts the distance to the lowest polymorph of the same formula at 0 meV per atom. The space group is Immm (71). The calculation puts the formation energy at 0.2492 eV/atom.

No. 4
Material: Tl2Rh
Method: DFT, SCAN
State: PBEsol geometry

POSCAR file:
```
Tl2Rh
1.0
3.069 0.000 0.000
0.000 4.703 0.000
0.000 0.000 4.703
Rh Tl
1 2
direct
0.000 0.000 0.000 Rh
0.500 0.500 0.000 Tl
0.500 0.000 0.500 Tl
```

Summary:
As for the volume: 22.6 A^3/atom. The value obtained for the density of states at the Fermi level is 1.55 states/eV/f.u. As for the total moment: 0.000 μB per cell. The space group is P4/mmm (123). The calculation puts the formation energy at 0.0732 eV/atom.

No. 5
Material: Tl3Rh
Method: DFT, SCAN
State: PBEsol geometry

POSCAR file:
```
Tl3Rh
1.0
3.689 0.000 0.000
1.845 5.102 -0.010
1.845 1.470 4.885
Rh Tl
1 3
direct
0.000 0.075 0.925 Rh
0.306 0.037 0.351 Tl
0.500 0.405 0.595 Tl
0.694 0.649 0.963 Tl
```

Summary:
As for the volume: 23.0 A^3/atom. The value obtained for the density of states at the Fermi level is 1.92 states/eV/f.u. As for the total moment: 0.000 μB per cell. The calculation puts the distance to the lowest polymorph of the same formula at 99 meV per atom. The space group is Imm2 (44). The calculation puts the formation energy at 0.1180 eV/atom.

No. 6
Material: Tl3Rh
Method: DFT, SCAN
State: PBEsol geometry

POSCAR file:
```
Tl3Rh
1.0
-2.350 -0.584 -1.888
-0.074 -4.359 1.439
-3.163 4.170 5.146
Tl Rh
3 1
direct
0.319 0.819 0.639 Tl
0.681 0.181 0.361 Tl
0.500 0.500 0.000 Tl
0.000 0.000 0.000 Rh
```

Summary:
As for the volume: 24.0 A^3/atom. The value obtained for the density of states at the Fermi level is 1.57 states/eV/f.u. As for the total moment: 0.000 μB per cell. The calculation puts the distance to the lowest polymorph of the same formula at 36 meV per atom. The space group is Immm (71). The calculation puts the formation energy at 0.0553 eV/atom.

No. 7
Material: Tl2Rh
Method: DFT, SCAN
State: PBEsol geometry

POSCAR file:
```
Tl2Rh
1.0
3.114 0.000 0.000
0.000 4.557 0.000
-1.557 0.000 9.127
Tl Rh
4 2
direct
0.431 0.250 0.863 Tl
0.569 0.750 0.137 Tl
0.699 0.250 0.398 Tl
0.301 0.750 0.602 Tl
0.065 0.250 0.130 Rh
0.935 0.750 0.870 Rh
```

Summary:
As for the volume: 21.6 A^3/atom. The value obtained for the density of states at the Fermi level is 1.01 states/eV/f.u. As for the total moment: 0.000 μB per cell. The space group is Cmcm (63). The calculation puts the formation energy at 0.0713 eV/atom.

No. 8
Material: Tl2RhW
Method: DFT, SCAN
State: PBEsol geometry

POSCAR file:
```
Tl2RhW
1.0
2.940 0.000 -0.053
0.000 3.006 0.000
-1.313 0.000 8.748
Tl Rh W
2 1 1
direct
0.834 0.000 0.041 Tl
0.670 0.500 0.715 Tl
0.454 0.500 0.283 Rh
0.043 0.000 0.461 W
```

Summary:
As for the volume: 19.3 A^3/atom. The value obtained for the density of states at the Fermi level is 2.26 states/eV/f.u. As for the total moment: 0.000 μB per cell. The calculation puts the distance to the lowest polymorph of the same formula at 0 meV per atom. The space group is Amm2 (38). The calculation puts the formation energy at 0.3769 eV/atom.

No. 9
Material: Tl2RhW
Method: DFT, SCAN
State: PBEsol geometry

POSCAR file:
```
Tl2RhW
1.0
-1.650 2.075 -1.285
-3.407 -0.923 2.884
2.117 3.506 3.622
Tl Rh W
2 1 1
direct
0.789 0.000 0.746 Tl
0.211 0.000 0.254 Tl
0.000 0.500 0.500 Rh
0.500 0.500 0.000 W
```

Summary:
As for the volume: 18.3 A^3/atom. The value obtained for the density of states at the Fermi level is 2.73 states/eV/f.u. As for the total moment: 0.508 μB per cell. The calculation puts the distance to the lowest polymorph of the same formula at 465 meV per atom. The space group is P2/m (10). The calculation puts the formation energy at 0.8424 eV/atom.

No. 10
Material: Tl2RhW
Method: DFT, SCAN
State: PBEsol geometry

POSCAR file:
```
Tl2RhW
1.0
3.049 0.000 0.000
1.525 2.641 0.000
1.525 0.880 8.992
W Rh Tl
1 1 2
direct
0.500 0.500 0.500 W
0.000 0.000 0.000 Rh
0.746 0.746 0.762 Tl
0.254 0.254 0.238 Tl
```

Summary:
As for the volume: 18.1 A^3/atom. The value obtained for the density of states at the Fermi level is 3.05 states/eV/f.u. As for the total moment: 0.001 μB per cell. The calculation puts the distance to the lowest polymorph of the same formula at 370 meV per atom. The space group is R-3m (166). The calculation puts the formation energy at 0.7467 eV/atom.

No. 11
Material: Y2TlRh
Method: DFT, SCAN
State: PBEsol geometry

POSCAR file:
```
Y2TlRh
1.0
3.437 0.000 0.000
0.000 3.437 0.000
0.000 0.000 7.718
Y Tl Rh
2 1 1
direct
0.000 0.000 0.285 Y
0.000 0.000 0.715 Y
0.500 0.500 0.000 Tl
0.500 0.500 0.500 Rh
```

Summary:
As for the volume: 22.8 A^3/atom. The value obtained for the density of states at the Fermi level is 2.10 states/eV/f.u. As for the total moment: 0.000 μB per cell. The space group is P4/mmm (123). The calculation puts the formation energy at -0.7890 eV/atom.

No. 12
Material: Y2TlRh
Method: DFT, SCAN
State: PBEsol geometry

POSCAR file:
```
Y2TlRh
1.0
4.473 0.000 0.000
0.000 5.193 0.000
-2.236 -2.597 3.917
Tl Y Rh
1 2 1
direct
0.000 0.500 0.000 Tl
0.775 0.775 0.550 Y
0.225 0.225 0.450 Y
0.500 0.000 0.000 Rh
```

Summary:
As for the volume: 22.7 A^3/atom. The value obtained for the density of states at the Fermi level is 1.65 states/eV/f.u. As for the total moment: 0.000 μB per cell. The space group is Immm (71). The calculation puts the formation energy at -0.6661 eV/atom.

Q: What is the volume in the ninth record?
A: 18.3 A^3/atom